Material: Nb2Mo2O
Method: DFT, PBE with a Hubbard U
State: optimized geometry

```
Nb2Mo2O
1.0
3.5547 0.0000 0.0000
0.0000 3.5547 0.0000
1.7774 1.7774 7.9014
Mo Nb O
2 2 1
Direct
0.4094 0.4094 0.1813
0.5906 0.5906 0.8187
0.7500 0.2500 0.5000
0.2500 0.7500 0.5000
0.0000 0.0000 0.0000
```

Output
- SG = I4/mmm, No. 139
- DOS(E_F) (states/eV/cell) = 2.7
- ρ (g/cm³) = 6.548
- energy above the lowest structure with this stoichiometry (meV/atom) = 663
- E (eV for the cell shown) = -33.31